! HfCrIn2F PBE+U optimized geometry; values from VASP
&SYSTEM
  ibrav = 0, nat = 5, ntyp = 4
/
ATOMIC_SPECIES
Cr 52.00 Cr.upf
F 19.00 F.upf
Hf 178.49 Hf.upf
In 114.82 In.upf
ATOMIC_POSITIONS angstrom
Cr 0.000 0.000 0.000
F -0.840 -0.022 -1.615
Hf -4.316 -0.829 0.204
In -1.369 -2.365 0.745
In -2.107 1.558 1.074
CELL_PARAMETERS angstrom
-4.214 3.116 2.148
-1.680 -0.045 -3.231
-2.738 -4.729 1.489
! Total magnetization   3.64 μB/cell
! SG   No. 123
! DOS(E_F)   3.188 states/eV/f.u.
! Crystal system   tetragonal
! Total energy   -25.6 eV/cell
! ρ   6.81 g/cm³